Compound: TbPm3Th3
Source: Alexandria via LeMat-Bulk
Functional: GGA-PBE
Structure: optimized geometry

Results
Formation energy from the elements   0.066 eV/atom
DOS at the Fermi energy   22.8 states/eV per cell
Spin magnetization   0.000 μB/f.u.

```
14
Lattice="-0.013 -1.269 -5.756 9.586 -0.274 0.039 -5.032 -7.970 1.768" Properties=species:S:1:pos:R:3 pbc="T T T"
Tb -0.162 -5.722 -0.247
Tb 4.704 -3.791 -3.702
Pm 3.858 -7.205 -2.947
Pm 8.154 -2.801 -3.928
Pm 2.443 -8.145 0.282
Pm 2.098 -1.368 -4.230
Pm -3.613 -6.712 -0.021
Pm 0.683 -2.308 -1.002
Th 0.376 -8.232 -2.713
Th 1.222 -4.959 -3.436
Th 6.645 -3.634 -0.722
Th -2.104 -5.879 -3.226
Th 3.319 -4.554 -0.512
Th 4.165 -1.281 -1.236
```


Compound: YCu2Sb2
Source: Alexandria via LeMat-Bulk
Functional: GGA-PBE
Structure: optimized geometry

Results
DOS at the Fermi energy   1.6 states/eV per cell
Spin magnetization   0.000 μB/f.u.
Formation energy without anion corrections   -0.32 eV/atom

```
5
Lattice="-1.071 1.774 -3.460 -0.080 -3.599 -1.820 -6.961 -1.593 -1.012" Properties=species:S:1:pos:R:3 pbc="T T T"
Y 0.000 0.000 0.000
Sb -2.120 -1.077 -2.246
Sb -5.993 -2.341 -4.046
Cu -4.304 -0.366 -3.556
Cu -3.809 -3.052 -2.736
```


Compound: LiCaAcAl
Source: Alexandria via LeMat-Bulk
Functional: GGA-PBE
Structure: optimized geometry

Results
Formation energy from the elements   -0.137 eV/atom
DOS at the Fermi energy   3.4 states/eV per cell
Spin magnetization   0.000 μB/f.u.

```
4
Lattice="5.526 0.000 0.000 2.763 4.786 0.000 2.763 1.595 4.512" Properties=species:S:1:pos:R:3 pbc="T T T"
Ac 5.526 3.191 2.256
Li 8.290 4.786 3.384
Ca 0.000 0.000 0.000
Al 2.763 1.595 1.128
```


Compound: Tm5Mg
Source: Alexandria via LeMat-Bulk
Functional: GGA-PBE
Structure: optimized geometry

Results
Formation energy from the elements   0.018 eV/atom
DOS at the Fermi energy   9.1 states/eV per cell
Spin magnetization   0.000 μB/f.u.
Energy above the most stable polymorph in this dataset   24 meV/atom

```
6
Lattice="6.514 0.005 0.004 3.710 5.354 0.004 3.710 1.945 4.988" Properties=species:S:1:pos:R:3 pbc="T T T"
Tm 5.569 1.808 0.004
Tm 3.710 4.205 1.684
Tm 4.655 1.291 3.308
Tm 11.600 6.081 4.159
Tm 2.333 1.223 0.836
Mg 6.967 3.652 2.498
```


Compound: Nd4InHg2Pd
Source: Alexandria via LeMat-Bulk
Functional: GGA-PBE
Structure: optimized geometry

Results
Formation energy from the elements   -0.530 eV/atom
DOS at the Fermi energy   7.1 states/eV per cell
Spin magnetization   0.000 μB/f.u.

```
8
Lattice="5.378 0.000 0.000 2.689 4.658 0.000 2.689 1.553 8.704" Properties=species:S:1:pos:R:3 pbc="T T T"
Nd 5.378 3.105 7.393
Nd 8.068 4.658 3.423
Nd 2.689 1.553 5.281
Nd 5.378 3.105 1.311
In 0.000 0.000 0.000
Hg 8.068 4.658 6.736
Hg 2.689 1.553 1.968
Pd 5.378 3.105 4.352
```


Compound: Ta2OsCl
Source: Alexandria via LeMat-Bulk
Functional: GGA-PBE
Structure: optimized geometry

Results
DOS at the Fermi energy   4.9 states/eV per cell
Spin magnetization   0.000 μB/f.u.
Formation energy without anion corrections   0.10 eV/atom
Energy above the most stable polymorph in this dataset   188 meV/atom

```
4
Lattice="9.058 0.014 0.008 8.584 2.891 0.008 8.584 1.413 2.522" Properties=species:S:1:pos:R:3 pbc="T T T"
Cl 6.556 1.080 0.635
Os 19.669 3.239 1.904
Ta 26.203 4.314 2.536
Ta 13.136 2.163 1.271
```


Compound: Ti3PdC
Source: Alexandria via LeMat-Bulk
Functional: GGA-PBE
Structure: optimized geometry

Results
Formation energy from the elements   -0.561 eV/atom
DOS at the Fermi energy   2.7 states/eV per cell
Spin magnetization   0.000 μB/f.u.
Energy above the most stable polymorph in this dataset   55 meV/atom

```
5
Lattice="-0.404 3.477 2.259 0.338 -2.234 3.499 4.132 0.523 -0.066" Properties=species:S:1:pos:R:3 pbc="T T T"
C 0.000 0.000 0.000
Pd 2.033 0.883 2.846
Ti 0.169 -1.117 1.750
Ti 2.066 0.261 -0.033
Ti -0.202 1.738 1.129
```


Compound: Co8Pt6W
Source: Alexandria via LeMat-Bulk
Functional: GGA-PBE
Structure: optimized geometry

Results
Formation energy from the elements   0.078 eV/atom
DOS at the Fermi energy   18.4 states/eV per cell
Spin magnetization   13.887 μB/f.u.

```
15
Lattice="5.517 -1.499 1.616 0.056 5.315 2.651 -1.531 0.377 6.584" Properties=species:S:1:pos:R:3 pbc="T T T"
Co 2.265 0.678 3.913
Co 3.597 -0.543 5.692
Co -0.047 2.241 5.505
Co 2.181 2.921 9.425
Co 1.862 1.273 1.426
Co 4.089 1.953 5.347
Co 0.445 4.737 5.160
Co 1.777 3.516 6.939
Pt 1.077 -0.001 6.030
Pt 4.789 0.161 3.602
Pt 1.133 2.916 3.389
Pt 2.909 1.278 7.462
Pt -0.747 4.033 7.250
Pt 2.965 4.195 4.822
W 0.000 0.000 0.000
```